TbErMg | GGA-PBE | relaxed

## Properties
**Formation energy**: 0.4261 eV per atom
**Space group**: R3m
**Magnetic moment**: 0.0 μB per formula unit
**Total energy**: -3.170 eV per atom
**DOS at the Fermi energy**: 5.71 states/eV per cell

a b c (Å): 5.212 5.212 5.212
angles (deg): 60.09 60.09 60.09
Sites, in units of the cell vectors:
Tb 0.000 0.000 0.000
Er 0.500 0.500 0.500
Mg 0.750 0.750 0.750


Tb2Er3Mg3 | GGA-PBE | relaxed

## Properties
**Formation energy**: -0.0495 eV per atom
**Space group**: Immm
**Magnetic moment**: 0.0 μB per formula unit
**Total energy**: -3.516 eV per atom
**DOS at the Fermi energy**: 9.17 states/eV per cell

a b c (Å): 11.614 11.614 11.614
angles (deg): 161.44 153.17 32.82
Sites, in units of the cell vectors:
Tb 0.235 0.235 0.000
Tb 0.765 0.765 0.000
Er 0.000 0.000 0.000
Er 0.375 0.875 0.500
Er 0.625 0.125 0.500
Mg 0.116 0.616 0.500
Mg 0.500 0.500 0.000
Mg 0.884 0.384 0.500


Tb3Er6Mg | GGA-PBE | relaxed

## Properties
**Formation energy**: 0.1308 eV per atom
**Space group**: Cmc2_1
**Magnetic moment**: 0.0 μB per formula unit
**Total energy**: -4.155 eV per atom
**DOS at the Fermi energy**: 24.59 states/eV per cell

a b c (Å): 8.765 8.765 8.908
angles (deg): 90.00 90.00 116.34
Sites, in units of the cell vectors:
Tb 0.038 0.962 0.500
Tb 0.178 0.468 0.016
Tb 0.468 0.178 0.516
Tb 0.532 0.822 0.016
Tb 0.822 0.532 0.516
Tb 0.962 0.038 0.000
Er 0.023 0.328 0.351
Er 0.207 0.793 0.238
Er 0.212 0.344 0.682
Er 0.328 0.023 0.851
Er 0.344 0.212 0.182
Er 0.437 0.563 0.366
Er 0.563 0.437 0.866
Er 0.656 0.788 0.682
Er 0.672 0.977 0.351
Er 0.788 0.656 0.182
Er 0.793 0.207 0.738
Er 0.977 0.672 0.851
Mg 0.267 0.733 0.597
Mg 0.733 0.267 0.097


TbEr2Mg5 | GGA-PBE | relaxed

## Properties
**Formation energy**: -0.0671 eV per atom
**Space group**: I4/mmm
**Magnetic moment**: 0.0 μB per formula unit
**Total energy**: -2.783 eV per atom
**DOS at the Fermi energy**: 5.70 states/eV per cell

a b c (Å): 8.399 8.399 8.399
angles (deg): 143.69 143.69 52.28
Sites, in units of the cell vectors:
Tb 0.000 0.000 0.000
Er 0.256 0.256 0.000
Er 0.744 0.744 0.000
Mg 0.121 0.621 0.500
Mg 0.379 0.879 0.500
Mg 0.500 0.500 0.000
Mg 0.621 0.121 0.500
Mg 0.879 0.379 0.500


TbEr4Mg2 | GGA-PBE | relaxed

## Properties
**Formation energy**: 0.0350 eV per atom
**Space group**: Cmmm
**Magnetic moment**: 0.0 μB per formula unit
**Total energy**: -3.689 eV per atom
**DOS at the Fermi energy**: 6.63 states/eV per cell

a b c (Å): 17.312 17.312 3.443
angles (deg): 90.00 90.00 168.45
Sites, in units of the cell vectors:
Tb 0.000 0.000 0.000
Er 0.146 0.854 0.000
Er 0.426 0.574 0.500
Er 0.574 0.426 0.500
Er 0.854 0.146 0.000
Mg 0.287 0.713 0.500
Mg 0.713 0.287 0.500


TbErMg3 | GGA-PBE | relaxed

## Properties
**Formation energy**: 0.0221 eV per atom
**Space group**: R-3m
**Magnetic moment**: 0.2 μB per formula unit
**Total energy**: -2.773 eV per atom
**DOS at the Fermi energy**: 10.88 states/eV per cell

a b c (Å): 9.009 9.009 9.009
angles (deg): 39.99 39.99 39.99
Sites, in units of the cell vectors:
Tb 0.165 0.165 0.165
Tb 0.835 0.835 0.835
Er 0.433 0.433 0.433
Er 0.567 0.567 0.567
Mg 0.122 0.122 0.612
Mg 0.122 0.612 0.122
Mg 0.388 0.878 0.878
Mg 0.612 0.122 0.122
Mg 0.878 0.388 0.878
Mg 0.878 0.878 0.388


Tb4Er3Mg | GGA-PBE | relaxed

## Properties
**Formation energy**: -0.0040 eV per atom
**Space group**: P4/mmm
**Magnetic moment**: 0.0 μB per formula unit
**Total energy**: -4.229 eV per atom
**DOS at the Fermi energy**: 10.84 states/eV per cell

a b c (Å): 3.547 3.547 19.315
angles (deg): 90.00 90.00 90.00
Sites, in units of the cell vectors:
Tb 0.000 0.000 0.115
Tb 0.000 0.000 0.371
Tb 0.000 0.000 0.629
Tb 0.000 0.000 0.885
Er 0.500 0.500 0.242
Er 0.500 0.500 0.500
Er 0.500 0.500 0.758
Mg 0.500 0.500 0.000


TbEr3Mg3 | GGA-PBE | relaxed

## Properties
**Formation energy**: 0.0075 eV per atom
**Space group**: P2_1/m
**Magnetic moment**: 0.0 μB per formula unit
**Total energy**: -3.293 eV per atom
**DOS at the Fermi energy**: 19.27 states/eV per cell

a b c (Å): 9.064 5.477 9.069
angles (deg): 90.00 119.97 90.00
Sites, in units of the cell vectors:
Tb 0.167 0.250 0.333
Tb 0.833 0.750 0.667
Er 0.259 0.750 0.802
Er 0.302 0.250 0.043
Er 0.457 0.250 0.759
Er 0.543 0.750 0.241
Er 0.698 0.750 0.957
Er 0.741 0.250 0.198
Mg 0.021 0.250 0.616
Mg 0.116 0.750 0.094
Mg 0.405 0.750 0.521
Mg 0.595 0.250 0.479
Mg 0.884 0.250 0.906
Mg 0.979 0.750 0.384